Record 1
A plane-wave DFT calculation with GGA-PBE was carried out for an optimized crystal structure of CoCuBiMo.

Structure (extended XYZ):
```
4
Lattice="0.0000 3.1784 3.1784 3.1784 0.0000 3.1784 3.1784 3.1784 0.0000" Properties=species:S:1:pos:R:3 pbc="T T T"
Co 0.0000 0.0000 0.0000
Cu 3.1784 3.1784 3.1784
Bi 4.7676 4.7676 4.7676
Mo 1.5892 1.5892 1.5892
```

---

Record 2
A plane-wave DFT calculation with GGA-PBE was carried out for an optimized crystal structure of CoCuBiMo.

Structure (extended XYZ):
```
4
Lattice="0.0000 3.1884 3.1884 3.1884 0.0000 3.1884 3.1884 3.1884 0.0000" Properties=species:S:1:pos:R:3 pbc="T T T"
Co 0.0000 0.0000 0.0000
Cu 1.5942 1.5942 1.5942
Bi 3.1884 3.1884 3.1884
Mo 4.7826 4.7826 4.7826
```

---

Record 3
A plane-wave DFT calculation with GGA-PBE was carried out for an optimized crystal structure of NbCoCuBi.

Structure (extended XYZ):
```
4
Lattice="0.0000 3.2318 3.2318 3.2318 0.0000 3.2318 3.2318 3.2318 0.0000" Properties=species:S:1:pos:R:3 pbc="T T T"
Nb 0.0000 0.0000 0.0000
Co 4.8476 4.8476 4.8476
Cu 3.2318 3.2318 3.2318
Bi 1.6159 1.6159 1.6159
```

---

Record 4
A plane-wave DFT calculation with GGA-PBE was carried out for an optimized crystal structure of NbCoCuBi.

Structure (extended XYZ):
```
4
Lattice="0.0000 3.2051 3.2051 3.2051 0.0000 3.2051 3.2051 3.2051 0.0000" Properties=species:S:1:pos:R:3 pbc="T T T"
Nb 0.0000 0.0000 0.0000
Co 1.6026 1.6026 1.6026
Cu 4.8077 4.8077 4.8077
Bi 3.2051 3.2051 3.2051
```

---

Record 5
A plane-wave DFT calculation with GGA-PBE was carried out for an optimized crystal structure of CoCuBiOs.

Structure (extended XYZ):
```
4
Lattice="0.0000 3.1642 3.1642 3.1642 0.0000 3.1642 3.1642 3.1642 0.0000" Properties=species:S:1:pos:R:3 pbc="T T T"
Co 0.0000 0.0000 0.0000
Cu 4.7463 4.7463 4.7463
Bi 3.1642 3.1642 3.1642
Os 1.5821 1.5821 1.5821
```

---

Record 6
A plane-wave DFT calculation with GGA-PBE was carried out for an optimized crystal structure of CoCuReBi.

Structure (extended XYZ):
```
4
Lattice="0.0000 3.1709 3.1709 3.1709 0.0000 3.1709 3.1709 3.1709 0.0000" Properties=species:S:1:pos:R:3 pbc="T T T"
Co 0.0000 0.0000 0.0000
Cu 3.1709 3.1709 3.1709
Re 1.5855 1.5855 1.5855
Bi 4.7564 4.7564 4.7564
```

---

| no. | energy relative to the lowest polymorph listed for this composition (meV/atom) |
| --- | --- |
| 1 | 0 |
| 2 | 25 |
| 3 | 114 |
| 4 | 0 |
| 5 | 0 |
| 6 | 28 |